! ZrAg (GGA-PBE, optimized geometry); values from VASP
&SYSTEM
  ibrav = 0, nat = 4, ntyp = 2
/
ATOMIC_SPECIES
Zr 91.22 Zr.upf
Ag 107.87 Ag.upf
CELL_PARAMETERS angstrom
-3.950 2.366 1.567
-2.051 -1.230 4.234
0.315 2.998 3.816
ATOMIC_POSITIONS crystal
Zr 0.250 0.250 0.250
Ag 0.000 0.000 0.000
Ag 0.750 0.750 0.750
Zr 0.500 0.500 0.500
! Space group: Fd-3m
! DFT total energy, eV per atom: -5.503
! Energy relative to the elements, eV per formula unit: 0.39
! Magnetic moment, μB/atom: 0.554


! BiTe3S (GGA-PBE, optimized geometry); values from VASP
&SYSTEM
  ibrav = 0, nat = 5, ntyp = 3
/
ATOMIC_SPECIES
S 32.06 S.upf
Bi 208.98 Bi.upf
Te 127.60 Te.upf
CELL_PARAMETERS angstrom
-2.128 4.442 3.356
-0.398 -3.705 4.651
5.553 1.436 1.619
ATOMIC_POSITIONS crystal
S 0.500 0.500 0.500
Bi 0.000 0.000 0.000
Te 0.000 0.000 0.500
Te 0.500 0.000 0.000
Te 0.000 0.500 0.000
! Space group: Pm-3m
! DFT total energy, eV per atom: -2.500
! Magnetic moment, μB/atom: 0.655
! E above lowest polymorph, meV per atom: 600.7


! CsRb2NbF6 (GGA-PBE, optimized geometry); values from VASP
&SYSTEM
  ibrav = 0, nat = 10, ntyp = 4
/
ATOMIC_SPECIES
Rb 85.47 Rb.upf
F 19.00 F.upf
Cs 132.91 Cs.upf
Nb 92.91 Nb.upf
CELL_PARAMETERS angstrom
-5.595 1.966 -3.579
-1.642 -6.642 -1.080
-6.262 -2.355 1.793
ATOMIC_POSITIONS crystal
Rb 0.750 0.250 0.500
F 0.715 0.715 0.000
Cs 0.000 0.000 0.000
Nb 0.500 0.500 0.000
F 0.715 0.285 0.000
Rb 0.250 0.750 0.500
F 0.715 0.715 0.570
F 0.285 0.715 0.000
F 0.285 0.285 0.430
F 0.285 0.285 0.000
! Space group: Fm-3m
! DFT total energy, eV per atom: -5.082
! Magnetic moment, μB/atom: 0.200


! ScCu4Si2 (GGA-PBE, optimized geometry); values from VASP
&SYSTEM
  ibrav = 0, nat = 7, ntyp = 3
/
ATOMIC_SPECIES
Cu 63.55 Cu.upf
Si 28.09 Si.upf
Sc 44.96 Sc.upf
CELL_PARAMETERS angstrom
-3.073 -1.626 -2.018
0.398 -3.626 -1.688
-3.207 -4.784 4.734
ATOMIC_POSITIONS crystal
Cu 0.861 0.861 0.416
Cu 0.426 0.426 0.723
Cu 0.574 0.574 0.277
Si 0.746 0.746 0.761
Si 0.254 0.254 0.239
Sc 0.000 0.000 0.000
Cu 0.139 0.139 0.584
! Space group: R-3m
! DFT total energy, eV per atom: -5.099
! Magnetic moment, μB/atom: 0.000
! E above lowest polymorph, meV per atom: 45.1


! Tb2NdY6Th3 (GGA-PBE, optimized geometry); values from VASP
&SYSTEM
  ibrav = 0, nat = 12, ntyp = 4
/
ATOMIC_SPECIES
Tb 158.93 Tb.upf
Y 88.91 Y.upf
Nd 144.24 Nd.upf
Th 232.04 Th.upf
CELL_PARAMETERS angstrom
6.218 -0.001 0.003
-3.108 5.385 0.003
-1.045 -1.810 11.597
ATOMIC_POSITIONS crystal
Tb 0.667 0.333 0.000
Y 0.085 0.419 0.255
Tb 0.333 0.667 0.000
Y 0.915 0.581 0.745
Y 0.419 0.085 0.255
Y 0.249 0.249 0.745
Y 0.751 0.751 0.255
Nd 0.000 0.000 0.000
Th 0.166 0.834 0.500
Y 0.581 0.915 0.745
Th 0.500 0.500 0.500
Th 0.834 0.166 0.500
! Space group: C2/m
! DFT total energy, eV per atom: -6.235
! Energy relative to the elements, eV per formula unit: 0.26
! Magnetic moment, μB/atom: 0.000


! ZrCdCl2 (GGA-PBE, optimized geometry); values from VASP
&SYSTEM
  ibrav = 0, nat = 4, ntyp = 3
/
ATOMIC_SPECIES
Cl 35.45 Cl.upf
Zr 91.22 Zr.upf
Cd 112.41 Cd.upf
CELL_PARAMETERS angstrom
5.063 0.000 0.000
2.531 4.384 0.000
2.531 1.461 4.134
ATOMIC_POSITIONS crystal
Cl 0.750 0.750 0.750
Zr 0.250 0.250 0.250
Cl 0.000 0.000 0.000
Cd 0.500 0.500 0.500
! Space group: F-43m
! DFT total energy, eV per atom: -3.329
! Magnetic moment, μB/atom: 0.503
! E above lowest polymorph, meV per atom: 1033.0


! Na2Tl3Pd3 (GGA-PBE, optimized geometry); values from VASP
&SYSTEM
  ibrav = 0, nat = 8, ntyp = 3
/
ATOMIC_SPECIES
Pd 106.42 Pd.upf
Tl 204.38 Tl.upf
Na 22.99 Na.upf
CELL_PARAMETERS angstrom
3.070 0.000 0.000
0.000 6.993 -4.038
0.000 0.000 8.075
ATOMIC_POSITIONS crystal
Pd 0.500 0.336 0.000
Pd 0.500 0.000 0.336
Tl 0.000 0.000 0.743
Na 0.000 0.667 0.333
Pd 0.500 0.664 0.664
Na 0.000 0.333 0.667
Tl 0.000 0.257 0.257
Tl 0.000 0.743 0.000
! Space group: P-62m
! DFT total energy, eV per atom: -3.239
! Energy relative to the elements, eV per formula unit: -0.60
! Magnetic moment, μB/atom: 0.000


! Li2HoTh (GGA-PBE, optimized geometry); values from VASP
&SYSTEM
  ibrav = 0, nat = 4, ntyp = 3
/
ATOMIC_SPECIES
Li 6.94 Li.upf
Ho 164.93 Ho.upf
Th 232.04 Th.upf
CELL_PARAMETERS angstrom
3.670 0.000 0.000
0.000 3.670 0.000
0.000 0.000 7.369
ATOMIC_POSITIONS crystal
Li 0.000 0.000 0.244
Ho 0.500 0.500 0.000
Li 0.000 0.000 0.756
Th 0.500 0.500 0.500
! Space group: P4/mmm
! DFT total energy, eV per atom: -3.735
! Energy relative to the elements, eV per formula unit: 0.89
! Magnetic moment, μB/atom: 0.000
! E above lowest polymorph, meV per atom: 0.0


! InHgS6 (GGA-PBE, optimized geometry); values from VASP
&SYSTEM
  ibrav = 0, nat = 8, ntyp = 3
/
ATOMIC_SPECIES
S 32.06 S.upf
In 114.82 In.upf
Hg 200.59 Hg.upf
CELL_PARAMETERS angstrom
6.698 -3.219 -4.936
-2.878 10.339 0.500
-3.797 0.984 6.490
ATOMIC_POSITIONS crystal
S 0.387 0.958 0.160
S 0.237 0.649 0.470
In 0.000 0.000 0.000
S 0.763 0.351 0.530
S 0.223 0.768 0.619
S 0.613 0.042 0.840
Hg 0.500 0.500 0.500
S 0.777 0.232 0.381
! Space group: P-1
! DFT total energy, eV per atom: -3.486
! Magnetic moment, μB/atom: 0.000


! BeRe2Tc (GGA-PBE, optimized geometry); values from VASP
&SYSTEM
  ibrav = 0, nat = 4, ntyp = 3
/
ATOMIC_SPECIES
Re 186.21 Re.upf
Be 9.01 Be.upf
Tc 98.00 Tc.upf
CELL_PARAMETERS angstrom
-1.657 -0.146 -2.206
0.409 -3.788 -0.057
-4.127 -0.493 3.133
ATOMIC_POSITIONS crystal
Re 0.000 0.000 0.984
Be 0.500 0.500 0.748
Tc 0.000 0.000 0.520
Re 0.500 0.500 0.248
! Space group: Pmm2
! DFT total energy, eV per atom: -9.672
! Energy relative to the elements, eV per formula unit: 0.30
! Magnetic moment, μB/atom: 0.000


! La2Sm2DyY4 (GGA-PBE, optimized geometry); values from VASP
&SYSTEM
  ibrav = 0, nat = 9, ntyp = 4
/
ATOMIC_SPECIES
Y 88.91 Y.upf
Sm 150.36 Sm.upf
Dy 162.50 Dy.upf
La 138.91 La.upf
CELL_PARAMETERS angstrom
3.654 0.000 0.000
-1.827 9.456 -0.488
0.000 -3.751 8.943
ATOMIC_POSITIONS crystal
Y 0.520 0.040 0.334
Sm 0.852 0.705 0.336
Sm 0.148 0.295 0.664
Dy 0.000 0.000 0.000
La 0.665 0.330 0.999
Y 0.815 0.630 0.663
Y 0.185 0.370 0.337
Y 0.480 0.960 0.666
La 0.335 0.670 0.001
! Space group: C2/m
! DFT total energy, eV per atom: -5.527
! Energy relative to the elements, eV per formula unit: 0.00
! Magnetic moment, μB/atom: 0.000


! CaPbW2 (GGA-PBE, optimized geometry); values from VASP
&SYSTEM
  ibrav = 0, nat = 4, ntyp = 3
/
ATOMIC_SPECIES
W 183.84 W.upf
Ca 40.08 Ca.upf
Pb 207.20 Pb.upf
CELL_PARAMETERS angstrom
-0.158 -0.145 5.970
1.466 -4.859 -3.151
2.822 -0.314 0.665
ATOMIC_POSITIONS crystal
W 0.500 0.500 0.000
Ca 0.500 0.000 0.500
W 0.000 0.000 0.000
Pb 0.000 0.500 0.500
! Space group: C2/m
! DFT total energy, eV per atom: -6.956
! Energy relative to the elements, eV per formula unit: 3.79
! Magnetic moment, μB/atom: 0.000


Which formula does entry 11 have?
La2Sm2DyY4